The following is a DFT calculation (PBE) of an optimized crystal structure of LaSmRh4.

Lattice parameters (Å, degrees): 5.419 5.419 5.419 60.00 60.00 60.00
Sites, in units of the cell vectors:
1 Rh 0.625 0.625 0.126
2 Rh 0.625 0.126 0.625
3 Rh 0.625 0.625 0.625
4 Rh 0.126 0.625 0.625
5 Sm 0.250 0.250 0.250
6 La 0.000 0.000 0.000

Output
* DFT formation energy: -0.68 eV per atom
* space-group type: F-43m, No. 216